Here is NdRhSe after structural relaxation from the Alexandria database. Energies are from GGA-PBE.

abc: 3.8298 4.3571 4.3571
angles: 120.00 90.00 90.00
Closest atoms and distances in Å follow each position.
Fractional coordinates of all 3 atoms:
1 Rh 0.1731 0.6667 0.3333  3 Se 2.52
2 Nd 0.6656 0.3333 0.6667  6 Rh 3.14-3.18, 6 Se 3.15-3.17
3 Se 0.1613 0.0000 0.0000  3 Rh 2.52

Calculated values
Size of the total moment (μB per cell): 0.000
Crystal system: trigonal
V (Å³/cell): 63
Space group: P3m1
Uncorrected formation energy (meV per atom): -1187.9